# 1
Below is a relaxed CaZn2Au crystal, with properties calculated at the PBEsol level.

Computed properties:
**Space-group type**: R3m
**Size of the total moment**: 0.000 μB/atom
**Uncorrected energy**: -2.693 eV/atom

a b c (Å): 5.5183 5.5183 5.5183
angles (deg): 47.07 47.07 47.07
With the nearest neighbours (Å) after each atom.
Element x y z (fractional)
Ca 0.0000 0.0000 0.0000  4 Zn 2.94-3.21, 4 Au 2.98-3.19
Zn 0.2004 0.2004 0.2004  3 Zn 2.64, 3 Au 2.74, 1 Ca 2.94
Zn 0.4858 0.4858 0.4858  3 Au 2.56, 3 Zn 2.64
Au 0.7971 0.7971 0.7971  6 Zn 2.56-2.74


# 2
Below is a relaxed RbLaRe2 crystal, with properties calculated at the PBEsol level.

Computed properties:
**Space-group type**: Fm-3m
**Size of the total moment**: 0.908 μB/atom
**Uncorrected energy**: -6.149 eV/atom

a b c (Å): 5.0477 5.0477 5.0477
angles (deg): 60.00 60.00 60.00
With the nearest neighbours (Å) after each atom.
Element x y z (fractional)
Rb 0.0000 0.0000 0.0000  8 Re 3.09
La 0.5000 0.5000 0.5000  8 Re 3.09
Re 0.2500 0.2500 0.2500  4 La 3.09, 4 Rb 3.09
Re 0.7500 0.7500 0.7500  4 La 3.09, 4 Rb 3.09


# 3
Below is a relaxed YSiHg2S crystal, with properties calculated at the PBEsol level.

Computed properties:
**Space-group type**: P4/mmm
**ΔE_f (raw)**: 0.961 eV per atom
**Size of the total moment**: 0.000 μB/atom
**Uncorrected energy**: -2.656 eV/atom

a b c (Å): 5.5726 5.5726 5.3943
angles (deg): 90.00 90.00 90.00
With the nearest neighbours (Å) after each atom.
Element x y z (fractional)
Y 0.0000 0.0000 0.0000  2 Si 2.70, 4 Hg 2.79
Si 0.0000 0.0000 0.5000  2 Y 2.70
Hg 0.0000 0.5000 0.0000  2 Y 2.79
Hg 0.5000 0.0000 0.0000  2 Y 2.79
S 0.5000 0.5000 0.5000  8 Hg 3.88, 4 Si 3.94


# 4
Below is a relaxed Li2CaFe crystal, with properties calculated at the PBEsol level.

Computed properties:
**Distance to the lowest polymorph of the same formula**: 117.1 meV per atom
**Space-group type**: Cmmm
**Size of the total moment**: 0.561 μB/atom
**Uncorrected energy**: -3.159 eV/atom

a b c (Å): 5.5120 5.5120 2.9383
angles (deg): 90.00 90.00 119.89
With the nearest neighbours (Å) after each atom.
Element x y z (fractional)
Li 0.0000 0.5000 0.0000  4 Li 2.76-2.94
Li 0.5000 0.0000 0.0000  4 Li 2.76-2.94
Ca 0.0000 0.0000 0.5000  2 Fe 2.76, 2 Ca 2.94
Fe 0.5000 0.5000 0.5000  2 Ca 2.76, 2 Fe 2.94


# 5
Below is a relaxed Ti3ZnO crystal, with properties calculated at the PBEsol level.

Computed properties:
**Space-group type**: Pm-3m
**ΔE_f (raw)**: -1.206 eV per atom
**Size of the total moment**: 0.001 μB/atom
**Uncorrected energy**: -7.566 eV/atom

a b c (Å): 4.0531 4.0531 4.0531
angles (deg): 90.00 90.00 90.00
With the nearest neighbours (Å) after each atom.
Element x y z (fractional)
Ti 0.0000 0.0000 0.5000  2 O 2.03
Ti 0.0000 0.5000 0.0000  2 O 2.03
Ti 0.5000 0.0000 0.0000  2 O 2.03
Zn 0.5000 0.5000 0.5000  12 Ti 2.87
O 0.0000 0.0000 0.0000  6 Ti 2.03


# 6
Below is a relaxed TlNiPb2 crystal, with properties calculated at the PBEsol level.

Computed properties:
**Distance to the lowest polymorph of the same formula**: 22.4 meV per atom
**Space-group type**: R-3m
**Size of the total moment**: 0.000 μB/atom
**Uncorrected energy**: -4.064 eV/atom

a b c (Å): 8.7131 8.7131 8.7131
angles (deg): 24.25 24.25 24.25
With the nearest neighbours (Å) after each atom.
Element x y z (fractional)
Tl 0.0000 0.0000 0.0000  6 Pb 3.38, 6 Tl 3.66
Ni 0.5000 0.5000 0.5000  6 Pb 2.65
Pb 0.2295 0.2295 0.2295  3 Ni 2.65
Pb 0.7705 0.7705 0.7705  3 Ni 2.65


# 7
Below is a relaxed SrLiHgPb2 crystal, with properties calculated at the PBEsol level.

Computed properties:
**Space-group type**: P4/mmm
**Size of the total moment**: 0.000 μB/atom
**Uncorrected energy**: -1.940 eV/atom

a b c (Å): 6.0948 6.0948 5.9143
angles (deg): 90.00 90.00 90.00
With the nearest neighbours (Å) after each atom.
Element x y z (fractional)
Sr 0.0000 0.0000 0.0000  2 Hg 2.96, 4 Pb 3.05
Li 0.5000 0.5000 0.5000  8 Pb 4.25, 4 Hg 4.31
Hg 0.0000 0.0000 0.5000  2 Sr 2.96
Pb 0.0000 0.5000 0.0000  2 Sr 3.05
Pb 0.5000 0.0000 0.0000  2 Sr 3.05


# 8
Below is a relaxed SrScSi4 crystal, with properties calculated at the PBEsol level.

Computed properties:
**Space-group type**: F-43m
**ΔE_f (raw)**: -0.228 eV per atom
**Size of the total moment**: 0.000 μB/atom
**Uncorrected energy**: -5.466 eV/atom

a b c (Å): 5.2936 5.2936 5.2936
angles (deg): 60.00 60.00 60.00
With the nearest neighbours (Å) after each atom.
Element x y z (fractional)
Sr 0.0000 0.0000 0.0000  12 Si 3.11, 4 Sc 3.24
Sc 0.2500 0.2500 0.2500  12 Si 3.10, 4 Sr 3.24
Si 0.1347 0.6218 0.6218  6 Si 2.58-2.72
Si 0.6218 0.1347 0.6218  6 Si 2.58-2.72
Si 0.6218 0.6218 0.1347  6 Si 2.58-2.72
Si 0.6218 0.6218 0.6218  6 Si 2.58-2.72


# 9
Below is a relaxed RbFeTe2 crystal, with properties calculated at the PBEsol level.

Computed properties:
**Space-group type**: Fm-3m
**ΔE_f (raw)**: 0.378 eV per atom
**Size of the total moment**: 0.802 μB/atom
**Uncorrected energy**: -3.882 eV/atom

a b c (Å): 5.3105 5.3105 5.3105
angles (deg): 60.00 60.00 60.00
With the nearest neighbours (Å) after each atom.
Element x y z (fractional)
Rb 0.0000 0.0000 0.0000  8 Te 3.25
Fe 0.5000 0.5000 0.5000  8 Te 3.25
Te 0.2500 0.2500 0.2500  4 Fe 3.25, 4 Rb 3.25
Te 0.7500 0.7500 0.7500  4 Rb 3.25, 4 Fe 3.25


# 10
Below is a relaxed ZrCu2Ir crystal, with properties calculated at the PBEsol level.

Computed properties:
**Distance to the lowest polymorph of the same formula**: 576.5 meV per atom
**Space-group type**: R-3m
**Size of the total moment**: 0.000 μB/atom
**Uncorrected energy**: -6.722 eV/atom

a b c (Å): 9.1459 9.1459 9.1459
angles (deg): 17.15 17.15 17.15
With the nearest neighbours (Å) after each atom.
Element x y z (fractional)
Zr 0.0000 0.0000 0.0000  6 Zr 2.73, 6 Cu 2.87
Cu 0.2445 0.2445 0.2445  3 Ir 2.63, 6 Cu 2.73, 3 Zr 2.87
Cu 0.7555 0.7555 0.7555  3 Ir 2.63, 6 Cu 2.73, 3 Zr 2.87
Ir 0.5000 0.5000 0.5000  6 Cu 2.63, 6 Ir 2.73


# 11
Below is a relaxed MnTcIr2 crystal, with properties calculated at the PBEsol level.

Computed properties:
**Distance to the lowest polymorph of the same formula**: 3.8 meV per atom
**Space-group type**: P4/mmm
**Size of the total moment**: 0.277 μB/atom
**Uncorrected energy**: -10.328 eV/atom

a b c (Å): 3.7737 3.7737 3.7414
angles (deg): 90.00 90.00 90.00
With the nearest neighbours (Å) after each atom.
Element x y z (fractional)
Mn 0.0000 0.0000 0.0000  8 Ir 2.66, 4 Tc 2.67
Tc 0.5000 0.5000 0.0000  8 Ir 2.66, 4 Mn 2.67
Ir 0.0000 0.5000 0.5000  4 Mn 2.66, 4 Tc 2.66, 4 Ir 2.67
Ir 0.5000 0.0000 0.5000  4 Mn 2.66, 4 Tc 2.66, 4 Ir 2.67


# 12
Below is a relaxed SbSeCl2 crystal, with properties calculated at the PBEsol level.

Computed properties:
**Distance to the lowest polymorph of the same formula**: 0.0 meV per atom
**Space-group type**: Pm
**ΔE_f (raw)**: -0.383 eV per atom
**Size of the total moment**: 0.000 μB/atom
**Uncorrected energy**: -3.489 eV/atom

a b c (Å): 5.5093 3.8898 5.5270
angles (deg): 90.00 119.52 90.00
With the nearest neighbours (Å) after each atom.
Element x y z (fractional)
Sb 0.0000 0.0000 0.0000  1 Cl 2.43, 2 Se 2.72
Se 0.8188 0.5000 0.6060  2 Sb 2.72, 2 Cl 2.79-2.82
Cl 0.2622 0.5000 0.4975  2 Se 2.79-2.82, 2 Sb 3.08
Cl 0.4675 0.0000 0.0599  1 Sb 2.43